meta-GGA SCAN La5Si3, PBEsol geometry; SG = P6_3/mcm (193); VASP energy = -31.32 eV per atom
1.0
-0.4370 -4.2265 5.1630
3.4780 -6.4548 -4.9897
5.3087 5.2707 4.7640
La Si
10 6
Cartesian
4.4800 -0.7510 4.0943
4.0882 -2.5463 -1.7385
3.8697 -4.6596 0.8430
3.6275 0.7570 7.4216
2.2635 -7.9790 0.1547
1.9125 -3.4718 3.8147
6.4372 -1.9388 1.1226
1.2442 0.2872 2.5054
4.6984 1.3622 1.5128
0.7775 -2.7023 0.0186
5.0316 -3.8921 3.7346
3.1287 2.1582 4.1965
1.7430 -1.1140 5.7305
1.0289 -5.6876 1.9260
2.0121 -4.9937 -1.7527
3.3181 -1.5185 1.2027


meta-GGA SCAN SrLaSi, PBEsol geometry; SG = F-43m (216); VASP energy = -24.88 eV per atom
1.0
-2.6553 -0.3381 4.3218
1.7479 -2.8329 3.8421
1.7273 2.2361 4.2260
Si Sr La
1 1 1
Cartesian
0.0000 0.0000 0.0000
0.4100 -0.4675 6.1949
0.2050 -0.2338 3.0975


meta-GGA SCAN SrLaSi, PBEsol geometry; SG = I4mm (107); VASP energy = -25.40 eV per atom
1.0
3.6450 0.0000 0.0000
0.0000 3.6450 0.0000
-1.8225 -1.8225 7.1844
La Si Sr
1 1 1
Cartesian
1.8225 1.8225 6.5750
0.0000 0.0000 4.8896
1.8225 1.8225 2.9042


meta-GGA SCAN SrLaSi3, PBEsol geometry; SG = Pm-3m (221); VASP energy = -18.15 eV per atom
1.0
5.1830 0.0000 0.0000
0.0000 5.1830 0.0000
0.0000 0.0000 5.1830
Sr Si La
1 3 1
Cartesian
0.0000 0.0000 0.0000
0.0000 2.5915 0.0000
2.5915 0.0000 0.0000
0.0000 0.0000 2.5915
2.5915 2.5915 2.5915